The following is a DFT calculation (PBE-GGA) of PmPrNdCd after structural relaxation.

Values from the calculation:
* calculated density: 7.1 Mg/m³
* final energy: -3.956 eV per atom
* ΔE to the lowest computed polymorph: 0.000 eV per atom
* size of the total moment: 0.00 μB/atom

CIF file:
```
data_PmPrNdCd
_space_group_name_H-M_alt 'P 4 m m'
_space_group_IT_number 99
_space_group_name_Hall 'P 4 -2'
_cell_length_a 3.752
_cell_length_b 3.752
_cell_length_c 9.080
_cell_angle_alpha 90.00
_cell_angle_beta 90.00
_cell_angle_gamma 90.00
loop_
_atom_site_label
_atom_site_type_symbol
_atom_site_fract_x
_atom_site_fract_y
_atom_site_fract_z
_atom_site_occupancy
Pm1 Pm 0.000 0.000 0.000 1
Pr1 Pr 0.500 0.500 0.723 1
Nd1 Nd 0.000 0.000 0.443 1
Cd1 Cd 0.500 0.500 0.219 1
```

The following is a DFT calculation (PBE-GGA) of Pm2Pr2Nd2Cd after structural relaxation.

Values from the calculation:
* calculated density: 6.9 Mg/m³
* final energy: -4.135 eV per atom
* size of the total moment: 0.00 μB/atom

CIF file:
```
data_Pm2Pr2Nd2Cd
_space_group_name_H-M_alt 'C 1 2/m 1'
_space_group_IT_number 12
_space_group_name_Hall '-C 2y'
_cell_length_a 17.589
_cell_length_b 3.511
_cell_length_c 8.444
_cell_angle_alpha 90.00
_cell_angle_beta 116.10
_cell_angle_gamma 90.00
loop_
_atom_site_label
_atom_site_type_symbol
_atom_site_fract_x
_atom_site_fract_y
_atom_site_fract_z
_atom_site_occupancy
Pm1 Pm 0.066 0.000 0.381 1
Pr1 Pr 0.227 0.500 0.306 1
Nd1 Nd 0.142 0.000 0.899 1
Cd1 Cd 0.000 0.500 0.000 1
```

The following is a DFT calculation (PBE-GGA) of PmPrNdCd after structural relaxation.

Values from the calculation:
* calculated density: 7.2 Mg/m³
* final energy: -3.832 eV per atom
* ΔE to the lowest computed polymorph: 0.124 eV per atom
* size of the total moment: 0.00 μB/atom

CIF file:
```
data_PmPrNdCd
_space_group_name_H-M_alt 'F -4 3 m'
_space_group_IT_number 216
_space_group_name_Hall 'F -4 2 3'
_cell_length_a 7.940
_cell_length_b 7.940
_cell_length_c 7.940
_cell_angle_alpha 90.00
_cell_angle_beta 90.00
_cell_angle_gamma 90.00
loop_
_atom_site_label
_atom_site_type_symbol
_atom_site_fract_x
_atom_site_fract_y
_atom_site_fract_z
_atom_site_occupancy
Pm1 Pm 0.000 0.000 0.000 1
Pr1 Pr 0.250 0.250 0.750 1
Nd1 Nd 0.250 0.250 0.250 1
Cd1 Cd 0.000 0.000 0.500 1
```

The following is a DFT calculation (PBE-GGA) of Pm3Pr6Nd2Cd after structural relaxation.

Values from the calculation:
* calculated density: 6.8 Mg/m³
* final energy: -4.458 eV per atom
* size of the total moment: 0.00 μB/atom

CIF file:
```
data_Pm3Pr6Nd2Cd
_space_group_name_H-M_alt 'C 1 2/m 1'
_space_group_IT_number 12
_space_group_name_Hall '-C 2y'
_cell_length_a 6.316
_cell_length_b 10.956
_cell_length_c 12.043
_cell_angle_alpha 90.00
_cell_angle_beta 100.19
_cell_angle_gamma 90.00
loop_
_atom_site_label
_atom_site_type_symbol
_atom_site_fract_x
_atom_site_fract_y
_atom_site_fract_z
_atom_site_occupancy
Pm1 Pm 0.000 0.000 0.000 1
Pm2 Pm 0.000 0.333 0.000 1
Pr1 Pr 0.245 0.336 0.747 1
Pr2 Pr 0.246 0.500 0.251 1
Nd1 Nd 0.000 0.167 0.500 1
Cd1 Cd 0.000 0.500 0.500 1
```

The following is a DFT calculation (PBE-GGA) of Pm3Pr2Nd6Cd after structural relaxation.

Values from the calculation:
* calculated density: 6.9 Mg/m³
* final energy: -4.456 eV per atom
* size of the total moment: 0.00 μB/atom

CIF file:
```
data_Pm3Pr2Nd6Cd
_space_group_name_H-M_alt 'C 1 2/m 1'
_space_group_IT_number 12
_space_group_name_Hall '-C 2y'
_cell_length_a 6.291
_cell_length_b 10.906
_cell_length_c 12.025
_cell_angle_alpha 90.00
_cell_angle_beta 100.17
_cell_angle_gamma 90.00
loop_
_atom_site_label
_atom_site_type_symbol
_atom_site_fract_x
_atom_site_fract_y
_atom_site_fract_z
_atom_site_occupancy
Pm1 Pm 0.000 0.000 0.000 1
Pm2 Pm 0.000 0.333 0.000 1
Pr1 Pr 0.000 0.167 0.500 1
Nd1 Nd 0.245 0.336 0.748 1
Nd2 Nd 0.246 0.500 0.251 1
Cd1 Cd 0.000 0.500 0.500 1
```

The following is a DFT calculation (PBE-GGA) of PmNdCdPt after structural relaxation.

Values from the calculation:
* calculated density: 9.7 Mg/m³
* final energy: -4.750 eV per atom
* size of the total moment: 0.00 μB/atom

CIF file:
```
data_PmNdCdPt
_space_group_name_H-M_alt 'F -4 3 m'
_space_group_IT_number 216
_space_group_name_Hall 'F -4 2 3'
_cell_length_a 7.413
_cell_length_b 7.413
_cell_length_c 7.413
_cell_angle_alpha 90.00
_cell_angle_beta 90.00
_cell_angle_gamma 90.00
loop_
_atom_site_label
_atom_site_type_symbol
_atom_site_fract_x
_atom_site_fract_y
_atom_site_fract_z
_atom_site_occupancy
Pm1 Pm 0.000 0.000 0.000 1
Nd1 Nd 0.000 0.000 0.500 1
Cd1 Cd 0.250 0.250 0.750 1
Pt1 Pt 0.250 0.250 0.250 1
```

The following is a DFT calculation (PBE-GGA) of PmNdPuCd after structural relaxation.

Values from the calculation:
* calculated density: 9.0 Mg/m³
* final energy: -6.127 eV per atom
* size of the total moment: 1.57 μB/atom

CIF file:
```
data_PmNdPuCd
_space_group_name_H-M_alt 'F -4 3 m'
_space_group_IT_number 216
_space_group_name_Hall 'F -4 2 3'
_cell_length_a 7.799
_cell_length_b 7.799
_cell_length_c 7.799
_cell_angle_alpha 90.00
_cell_angle_beta 90.00
_cell_angle_gamma 90.00
loop_
_atom_site_label
_atom_site_type_symbol
_atom_site_fract_x
_atom_site_fract_y
_atom_site_fract_z
_atom_site_occupancy
Pm1 Pm 0.000 0.000 0.000 1
Nd1 Nd 0.000 0.000 0.500 1
Pu1 Pu 0.250 0.250 0.250 1
Cd1 Cd 0.250 0.250 0.750 1
```

The following is a DFT calculation (PBE-GGA) of PmNdCdRh after structural relaxation.

Values from the calculation:
* calculated density: 8.4 Mg/m³
* final energy: -4.877 eV per atom
* size of the total moment: 0.00 μB/atom

CIF file:
```
data_PmNdCdRh
_space_group_name_H-M_alt 'F -4 3 m'
_space_group_IT_number 216
_space_group_name_Hall 'F -4 2 3'
_cell_length_a 7.362
_cell_length_b 7.362
_cell_length_c 7.362
_cell_angle_alpha 90.00
_cell_angle_beta 90.00
_cell_angle_gamma 90.00
loop_
_atom_site_label
_atom_site_type_symbol
_atom_site_fract_x
_atom_site_fract_y
_atom_site_fract_z
_atom_site_occupancy
Pm1 Pm 0.000 0.000 0.000 1
Nd1 Nd 0.000 0.000 0.500 1
Cd1 Cd 0.250 0.250 0.750 1
Rh1 Rh 0.250 0.250 0.250 1
```

The following is a DFT calculation (PBE-GGA) of PmNdCdRu after structural relaxation.

Values from the calculation:
* calculated density: 8.5 Mg/m³
* final energy: -5.104 eV per atom
* ΔE to the lowest computed polymorph: 0.083 eV per atom
* size of the total moment: 0.00 μB/atom

CIF file:
```
data_PmNdCdRu
_space_group_name_H-M_alt 'F -4 3 m'
_space_group_IT_number 216
_space_group_name_Hall 'F -4 2 3'
_cell_length_a 7.326
_cell_length_b 7.326
_cell_length_c 7.326
_cell_angle_alpha 90.00
_cell_angle_beta 90.00
_cell_angle_gamma 90.00
loop_
_atom_site_label
_atom_site_type_symbol
_atom_site_fract_x
_atom_site_fract_y
_atom_site_fract_z
_atom_site_occupancy
Pm1 Pm 0.000 0.000 0.000 1
Nd1 Nd 0.000 0.000 0.500 1
Cd1 Cd 0.250 0.250 0.250 1
Ru1 Ru 0.250 0.250 0.750 1
```

The following is a DFT calculation (PBE-GGA) of PmNdCdRu after structural relaxation.

Values from the calculation:
* calculated density: 8.3 Mg/m³
* final energy: -5.187 eV per atom
* ΔE to the lowest computed polymorph: 0.000 eV per atom
* size of the total moment: 0.00 μB/atom

CIF file:
```
data_PmNdCdRu
_space_group_name_H-M_alt 'P 4 m m'
_space_group_IT_number 99
_space_group_name_Hall 'P 4 -2'
_cell_length_a 3.559
_cell_length_b 3.559
_cell_length_c 7.917
_cell_angle_alpha 90.00
_cell_angle_beta 90.00
_cell_angle_gamma 90.00
loop_
_atom_site_label
_atom_site_type_symbol
_atom_site_fract_x
_atom_site_fract_y
_atom_site_fract_z
_atom_site_occupancy
Pm1 Pm 0.000 0.000 0.000 1
Nd1 Nd 0.000 0.000 0.432 1
Cd1 Cd 0.500 0.500 0.719 1
Ru1 Ru 0.500 0.500 0.214 1
```

The following is a DFT calculation (PBE-GGA) of PmNdCdSb after structural relaxation.

Values from the calculation:
* calculated density: 7.7 Mg/m³
* final energy: -4.224 eV per atom
* formation energy (no corrections): -585 meV per atom
* size of the total moment: 0.00 μB/atom

CIF file:
```
data_PmNdCdSb
_space_group_name_H-M_alt 'F -4 3 m'
_space_group_IT_number 216
_space_group_name_Hall 'F -4 2 3'
_cell_length_a 7.688
_cell_length_b 7.688
_cell_length_c 7.688
_cell_angle_alpha 90.00
_cell_angle_beta 90.00
_cell_angle_gamma 90.00
loop_
_atom_site_label
_atom_site_type_symbol
_atom_site_fract_x
_atom_site_fract_y
_atom_site_fract_z
_atom_site_occupancy
Pm1 Pm 0.000 0.000 0.000 1
Nd1 Nd 0.000 0.000 0.500 1
Cd1 Cd 0.250 0.250 0.750 1
Sb1 Sb 0.250 0.250 0.250 1
```

The following is a DFT calculation (PBE-GGA) of Pm2Nd6Sm3Cd after structural relaxation.

Values from the calculation:
* calculated density: 7.1 Mg/m³
* final energy: -4.440 eV per atom
* size of the total moment: 0.00 μB/atom

CIF file:
```
data_Pm2Nd6Sm3Cd
_space_group_name_H-M_alt 'C 1 2/m 1'
_space_group_IT_number 12
_space_group_name_Hall '-C 2y'
_cell_length_a 6.268
_cell_length_b 10.878
_cell_length_c 11.951
_cell_angle_alpha 90.00
_cell_angle_beta 100.22
_cell_angle_gamma 90.00
loop_
_atom_site_label
_atom_site_type_symbol
_atom_site_fract_x
_atom_site_fract_y
_atom_site_fract_z
_atom_site_occupancy
Pm1 Pm 0.000 0.167 0.000 1
Nd1 Nd 0.245 0.336 0.247 1
Nd2 Nd 0.247 0.500 0.751 1
Sm1 Sm 0.000 0.000 0.500 1
Sm2 Sm 0.000 0.333 0.500 1
Cd1 Cd 0.000 0.500 0.000 1
```

The following is a DFT calculation (PBE-GGA) of Pm2Nd2Sm2Cd after structural relaxation.

Values from the calculation:
* calculated density: 7.1 Mg/m³
* final energy: -4.114 eV per atom
* size of the total moment: 0.00 μB/atom

CIF file:
```
data_Pm2Nd2Sm2Cd
_space_group_name_H-M_alt 'C 1 2/m 1'
_space_group_IT_number 12
_space_group_name_Hall '-C 2y'
_cell_length_a 17.576
_cell_length_b 3.489
_cell_length_c 8.384
_cell_angle_alpha 90.00
_cell_angle_beta 116.30
_cell_angle_gamma 90.00
loop_
_atom_site_label
_atom_site_type_symbol
_atom_site_fract_x
_atom_site_fract_y
_atom_site_fract_z
_atom_site_occupancy
Pm1 Pm 0.066 0.000 0.384 1
Nd1 Nd 0.144 0.000 0.897 1
Sm1 Sm 0.224 0.500 0.306 1
Cd1 Cd 0.000 0.500 0.000 1
```

The following is a DFT calculation (PBE-GGA) of Pm3Nd6Sm2Cd after structural relaxation.

Values from the calculation:
* calculated density: 7.1 Mg/m³
* final energy: -4.440 eV per atom
* size of the total moment: 0.00 μB/atom

CIF file:
```
data_Pm3Nd6Sm2Cd
_space_group_name_H-M_alt 'C 1 2/m 1'
_space_group_IT_number 12
_space_group_name_Hall '-C 2y'
_cell_length_a 6.275
_cell_length_b 10.886
_cell_length_c 11.954
_cell_angle_alpha 90.00
_cell_angle_beta 100.19
_cell_angle_gamma 90.00
loop_
_atom_site_label
_atom_site_type_symbol
_atom_site_fract_x
_atom_site_fract_y
_atom_site_fract_z
_atom_site_occupancy
Pm1 Pm 0.000 0.000 0.000 1
Pm2 Pm 0.000 0.333 0.000 1
Nd1 Nd 0.245 0.336 0.746 1
Nd2 Nd 0.247 0.500 0.252 1
Sm1 Sm 0.000 0.167 0.500 1
Cd1 Cd 0.000 0.500 0.500 1
```